# 1
The following is a GGA-PBE calculation of a relaxed CsBaCa2Tl crystal, from Alexandria via LeMat-Bulk.

As for the volume: 55.03 Å³/atom. The final energy comes out at -9.18 eV per cell. The calculation puts the formation enthalpy at 0 K at -0.0079 eV/atom. Its crystal system is tetragonal.

The structure belongs to space group P4/mmm (No. 123); the cell edges are 6.318, 6.318 and 6.894 Å and the angles 90.00°, 90.00° and 90.00°. The inequivalent atoms are Cs at (0.000, 0.000, 0.000), Ba at (0.500, 0.500, 0.000), Ca at (0.000, 0.500, 0.500) and Tl at (0.500, 0.500, 0.500).


# 2
The following is a GGA-PBE calculation of a relaxed Co2Pb crystal, from Alexandria via LeMat-Bulk.

As for the volume: 16.13 Å³/atom. The final energy comes out at -32.87 eV per cell. The calculation puts the formation enthalpy at 0 K at 0.4953 eV/atom. Its crystal system is hexagonal.

The structure belongs to space group P6_3/mmc (No. 194); the cell edges are 4.0273, 4.0273 and 6.8909 Å and the angles 90.00°, 90.00° and 120.00°. The inequivalent atoms are Co at (0.3333, 0.6667, 0.0467) and Pb at (0.0000, 0.0000, 0.2500).


# 3
The following is a GGA-PBE calculation of a relaxed SmPt2Rh2 crystal, from Alexandria via LeMat-Bulk.

As for the volume: 18.87 Å³/atom. The final energy comes out at -133.82 eV per cell. The calculation puts the formation enthalpy at 0 K at -0.3903 eV/atom. Its crystal system is tetragonal.

The structure belongs to space group I4/mmm (No. 139); the cell edges are 3.974, 3.974 and 23.895 Å and the angles 90.00°, 90.00° and 90.00°. The inequivalent atoms are Sm at (0.000, 0.000, 0.131), Pt at (0.000, 0.000, 0.428), Pt at (0.000, 0.500, 0.250), Rh at (0.000, 0.000, 0.326) and Rh at (0.000, 0.500, 0.000).


# 4
The following is a GGA-PBE calculation of a relaxed BeBP crystal, from Alexandria via LeMat-Bulk.

As for the volume: 14.35 Å³/atom. The final energy comes out at -62.89 eV per cell. The calculation puts the formation enthalpy at 0 K at 0.0301 eV/atom. Its crystal system is monoclinic.

The structure belongs to space group C2/m (No. 12); the cell edges are 13.597, 3.087 and 4.110 Å and the angles 90.00°, 93.74° and 90.00°. The inequivalent atoms are Be at (0.046, 0.000, 0.263), B at (0.052, 0.500, 0.912) and P at (0.122, 0.000, 0.742).


# 5
The following is a GGA-PBE calculation of a relaxed MgIn2W crystal, from Alexandria via LeMat-Bulk.

As for the volume: 20.24 Å³/atom. The final energy comes out at -18.40 eV per cell. The calculation puts the formation enthalpy at 0 K at 0.4065 eV/atom. Its crystal system is tetragonal.

The structure belongs to space group P4/mmm (No. 123); the cell edges are 2.964, 2.964 and 9.215 Å and the angles 90.00°, 90.00° and 90.00°. The inequivalent atoms are Mg at (0.000, 0.000, 0.000), In at (0.500, 0.500, 0.263) and W at (0.000, 0.000, 0.500).


# 6
The following is a GGA-PBE calculation of a relaxed K3Sn9Pb2 crystal, from Alexandria via LeMat-Bulk.

As for the volume: 32.63 Å³/atom. The final energy comes out at -96.83 eV per cell. The calculation puts the formation enthalpy at 0 K at -0.1201 eV/atom. Its crystal system is orthorhombic.

The structure belongs to space group Immm (No. 71); the cell edges are 5.364, 11.450 and 14.876 Å and the angles 90.00°, 90.00° and 90.00°. The inequivalent atoms are K at (0.000, 0.000, 0.000), K at (0.000, 0.000, 0.297), Sn at (0.000, 0.275, 0.149), Sn at (0.000, 0.365, 0.343), Sn at (0.000, 0.500, 0.000) and Pb at (0.000, 0.182, 0.500).


# 7
The following is a GGA-PBE calculation of a relaxed CeMg2Co9 crystal, from Alexandria via LeMat-Bulk.

As for the volume: 13.53 Å³/atom. The final energy comes out at -222.05 eV per cell. The calculation puts the formation enthalpy at 0 K at -0.0785 eV/atom. Its crystal system is trigonal.

The structure belongs to space group R-3m (No. 166, hexagonal axes); the cell edges are 4.8640, 4.8640 and 23.7818 Å and the angles 90.00°, 90.00° and 120.00°. The inequivalent atoms are Ce at (0.0000, 0.0000, 0.0000), Mg at (0.0000, 0.0000, 0.1439), Co at (0.0000, 0.0000, 0.3358), Co at (0.0000, 0.0000, 0.5000) and Co at (0.0072, 0.5036, 0.9147).


# 8
The following is a GGA-PBE calculation of a relaxed Tb8Sm3Er3 crystal, from Alexandria via LeMat-Bulk.

As for the volume: 32.53 Å³/atom. The final energy comes out at -126.77 eV per cell. The calculation puts the formation enthalpy at 0 K at 0.1074 eV/atom. Its crystal system is orthorhombic.

The structure belongs to space group Immm (No. 71); the cell edges are 5.639, 10.798 and 14.961 Å and the angles 90.00°, 90.00° and 90.00°. The inequivalent atoms are Tb at (0.000, 0.159, 0.103), Tb at (0.000, 0.341, 0.279), Sm at (0.000, 0.000, 0.319), Sm at (0.000, 0.500, 0.000), Er at (0.000, 0.204, 0.500) and Er at (0.000, 0.500, 0.500).


# 9
The following is a GGA-PBE calculation of a relaxed Cd2Tc2Mo crystal, from Alexandria via LeMat-Bulk.

As for the volume: 19.26 Å³/atom. The final energy comes out at -57.38 eV per cell. The calculation puts the formation enthalpy at 0 K at 0.9412 eV/atom. Its crystal system is tetragonal.

The structure belongs to space group I4/mmm (No. 139); the cell edges are 3.465, 3.465 and 16.040 Å and the angles 90.00°, 90.00° and 90.00°. The inequivalent atoms are Cd at (0.000, 0.000, 0.102), Tc at (0.000, 0.500, 0.250) and Mo at (0.000, 0.000, 0.500).


# 10
The following is a GGA-PBE calculation of a relaxed Rb2Ga2Pt crystal, from Alexandria via LeMat-Bulk.

As for the volume: 28.29 Å³/atom. The final energy comes out at -29.17 eV per cell. The calculation puts the formation enthalpy at 0 K at -0.1110 eV/atom. Its crystal system is tetragonal.

The structure belongs to space group P4/mbm (No. 127); the cell edges are 6.810, 6.810 and 6.100 Å and the angles 90.00°, 90.00° and 90.00°. The inequivalent atoms are Rb at (0.182, 0.318, 0.000), Ga at (0.159, 0.659, 0.500) and Pt at (0.000, 0.000, 0.500).


# 11
The following is a GGA-PBE calculation of a relaxed InIr2Pt crystal, from Alexandria via LeMat-Bulk.

As for the volume: 16.03 Å³/atom. The final energy comes out at -52.78 eV per cell. The calculation puts the formation enthalpy at 0 K at 0.0281 eV/atom. Its crystal system is orthorhombic.

The structure belongs to space group Cmmm (No. 65); the cell edges are 5.752, 7.715 and 2.889 Å and the angles 90.00°, 90.00° and 90.00°. The inequivalent atoms are In at (0.000, 0.000, 0.000), Ir at (0.250, 0.250, 0.500) and Pt at (0.000, 0.500, 0.000).


# 12
The following is a GGA-PBE calculation of a relaxed Sb2TeSe crystal, from Alexandria via LeMat-Bulk.

As for the volume: 26.65 Å³/atom. The final energy comes out at -28.08 eV per cell. For the formation energy from raw total energies, the calculation gives 0.2084 eV per atom. Its crystal system is orthorhombic.

The structure belongs to space group Cmmm (No. 65); the cell edges are 3.739, 5.906 and 9.654 Å and the angles 90.00°, 90.00° and 90.00°. The inequivalent atoms are Sb at (0.000, 0.000, 0.229), Te at (0.000, 0.500, 0.500) and Se at (0.000, 0.500, 0.000).